# AcPmCuSi (GGA-PBE, optimized geometry)
data_AcPmCuSi
_chemical_formula_sum 'Ac4 Pm4 Cu4 Si4'
_cell_length_a 7.4271
_cell_length_b 7.4271
_cell_length_c 7.4271
_cell_angle_alpha 90.00
_cell_angle_beta 90.00
_cell_angle_gamma 90.00
_space_group_name_H-M_alt 'F -4 3 m'
_space_group_IT_number 216
_space_group_name_Hall 'F -4 2 3'
loop_
_atom_site_label
_atom_site_fract_x
_atom_site_fract_y
_atom_site_fract_z
Ac1 0.0000 0.0000 0.0000
Pm1 0.0000 0.0000 0.5000
Cu1 0.2500 0.2500 0.7500
Si1 0.2500 0.2500 0.2500
# - formation energy from raw total energies (eV per atom) = -0.284

=====

# PmTm2Tl2 (GGA-PBE, optimized geometry)
data_PmTm2Tl2
_chemical_formula_sum 'Pm2 Tm4 Tl4'
_cell_length_a 5.2522
_cell_length_b 6.5871
_cell_length_c 9.1946
_cell_angle_alpha 103.14
_cell_angle_beta 90.08
_cell_angle_gamma 113.33
_space_group_name_H-M_alt 'P -1'
_space_group_IT_number 2
_space_group_name_Hall '-P 1'
loop_
_atom_site_label
_atom_site_fract_x
_atom_site_fract_y
_atom_site_fract_z
Pm1 0.0665 0.1326 0.3519
Tm1 0.2520 0.5037 0.7536
Tm2 0.4289 0.8587 0.1377
Tl1 0.1374 0.2735 0.0389
Tl2 0.3643 0.7293 0.4446
# - E_form (eV per atom) = -0.2723

=====

# Ho3Er6In (GGA-PBE, optimized geometry)
data_Ho3Er6In
_chemical_formula_sum 'Ho6 Er12 In2'
_cell_length_a 9.5315
_cell_length_b 5.5031
_cell_length_c 12.2916
_cell_angle_alpha 90.00
_cell_angle_beta 110.95
_cell_angle_gamma 90.00
_space_group_name_H-M_alt 'P 1 21/m 1'
_space_group_IT_number 11
_space_group_name_Hall '-P 2yb'
loop_
_atom_site_label
_atom_site_fract_x
_atom_site_fract_y
_atom_site_fract_z
Ho1 0.0255 0.2500 0.3691
Ho2 0.1000 0.7500 0.2215
Ho3 0.2723 0.2500 0.9729
Er1 0.0387 0.7500 0.9307
Er2 0.1911 0.2500 0.6688
Er3 0.2581 0.7500 0.5126
Er4 0.3460 0.2500 0.2954
Er5 0.3477 0.7500 0.8266
Er6 0.4258 0.7500 0.1387
In1 0.4682 0.2500 0.5828
# - E_form (eV per atom) = -0.0736

=====

# CrCuTc2 (GGA-PBE, optimized geometry)
data_CrCuTc2
_chemical_formula_sum 'Cr2 Cu2 Tc4'
_cell_length_a 8.9503
_cell_length_b 2.7940
_cell_length_c 4.4288
_cell_angle_alpha 90.00
_cell_angle_beta 104.08
_cell_angle_gamma 90.00
_space_group_name_H-M_alt 'C 1 m 1'
_space_group_IT_number 8
_space_group_name_Hall 'C -2y'
loop_
_atom_site_label
_atom_site_fract_x
_atom_site_fract_y
_atom_site_fract_z
Cr1 0.0000 0.0000 0.0000
Cu1 0.2490 0.0000 0.7555
Tc1 0.2392 0.5000 0.2459
Tc2 0.4927 0.0000 0.4984
# - E_form (eV per atom) = 0.2433

=====

# MnTlIr (GGA-PBE, optimized geometry)
data_MnTlIr
_chemical_formula_sum 'Mn2 Tl2 Ir2'
_cell_length_a 3.0408
_cell_length_b 3.0408
_cell_length_c 11.4407
_cell_angle_alpha 90.00
_cell_angle_beta 90.00
_cell_angle_gamma 90.00
_space_group_name_H-M_alt 'I 4 m m'
_space_group_IT_number 107
_space_group_name_Hall 'I 4 -2'
loop_
_atom_site_label
_atom_site_fract_x
_atom_site_fract_y
_atom_site_fract_z
Mn1 0.0000 0.0000 0.0000
Tl1 0.0000 0.0000 0.3103
Ir1 0.0000 0.0000 0.6307
# - E_form (eV per atom) = 0.3297

=====

# BaSnGe2Se8 (GGA-PBE, optimized geometry)
data_BaSnGe2Se8
_chemical_formula_sum 'Ba1 Sn1 Ge2 Se8'
_cell_length_a 6.2771
_cell_length_b 6.2771
_cell_length_c 9.7096
_cell_angle_alpha 90.00
_cell_angle_beta 90.00
_cell_angle_gamma 120.00
_space_group_name_H-M_alt 'P -3'
_space_group_IT_number 147
_space_group_name_Hall '-P 3'
loop_
_atom_site_label
_atom_site_fract_x
_atom_site_fract_y
_atom_site_fract_z
Ba1 0.0000 0.0000 0.0000
Sn1 0.0000 0.0000 0.5000
Ge1 0.3333 0.6667 0.7495
Se1 0.0488 0.6964 0.3155
Se2 0.3333 0.6667 0.9917
# - formation energy from raw total energies (eV per atom) = -0.438